Run one
DFT (PBE) results for an optimized crystal structure of Ca2PuP3.

The density of states at the Fermi level comes out at 1.82 states/eV per atom.

The space group is C2/m (No. 12) and the conventional cell measures 7.0619, 12.2267 and 7.0175 Å, with angles of 90.00, 109.62 and 90.00 degrees. The distinct sites, in fractional coordinates, are Ca at (0.0000, 0.0000, 0.0000), Ca at (0.0000, 0.1618, 0.5000), Ca at (0.0000, 0.5000, 0.5000), Pu at (0.0000, 0.3329, 0.0000), P at (0.2236, 0.5000, 0.2279) and P at (0.2476, 0.3232, 0.7736).

=====

Run two
DFT (PBE) results for an optimized crystal structure of Ca2PuP3.

The density of states at the Fermi level comes out at 1.67 states/eV per atom.

The space group is Immm (No. 71) and the conventional cell measures 4.0896, 5.6722 and 12.2612 Å, with angles of 90.00, 90.00 and 90.00 degrees. The distinct sites, in fractional coordinates, are Ca at (0.0000, 0.0000, 0.1712), Pu at (0.0000, 0.0000, 0.5000), P at (0.0000, 0.5000, 0.1478) and P at (0.0000, 0.5000, 0.5000).

=====

Which of them is the most stable? Correct choice: run one.

=====

Run one
DFT (PBE) results for an optimized crystal structure of CaReP.

The density of states at the Fermi level comes out at 0.63 states/eV per atom.

The space group is I4mm (No. 107) and the conventional cell measures 3.1768, 3.1768 and 10.7320 Å, with angles of 90.00, 90.00 and 90.00 degrees. The distinct sites, in fractional coordinates, are Ca at (0.0000, 0.0000, 0.0000), Re at (0.0000, 0.0000, 0.7086) and P at (0.0000, 0.0000, 0.2962).

=====

Run two
DFT (PBE) results for an optimized crystal structure of CaReP.

The density of states at the Fermi level comes out at 0.82 states/eV per atom.

The space group is P4/nmm (No. 129, origin choice 2) and the conventional cell measures 4.0394, 4.0394 and 7.2039 Å, with angles of 90.00, 90.00 and 90.00 degrees. The distinct sites, in fractional coordinates, are Ca at (0.2500, 0.2500, 0.1615), Re at (0.2500, 0.7500, 0.5000) and P at (0.2500, 0.2500, 0.6864).

=====

Which of them is the most stable? Correct choice: run two.

=====

Run one
DFT (PBE) results for an optimized crystal structure of CaReP3.

The density of states at the Fermi level comes out at 0.79 states/eV per atom.

The space group is Pm-3m (No. 221) and the conventional cell measures 4.7042, 4.7042 and 4.7042 Å, with angles of 90.00, 90.00 and 90.00 degrees. The distinct sites, in fractional coordinates, are Ca at (0.0000, 0.0000, 0.0000), Re at (0.5000, 0.5000, 0.5000) and P at (0.0000, 0.5000, 0.5000).

=====

Run two
DFT (PBE) results for an optimized crystal structure of CaReP3.

The density of states at the Fermi level comes out at 2.64 states/eV per atom.

The space group is Pm-3m (No. 221) and the conventional cell measures 4.8351, 4.8351 and 4.8351 Å, with angles of 90.00, 90.00 and 90.00 degrees. The distinct sites, in fractional coordinates, are Ca at (0.0000, 0.0000, 0.0000), Re at (0.5000, 0.5000, 0.5000) and P at (0.0000, 0.0000, 0.5000).

=====

Which of them is the most stable? Correct choice: run one.

=====

Run one
DFT (PBE) results for an optimized crystal structure of CaReP2S.

The density of states at the Fermi level comes out at 0.85 states/eV per atom.

The space group is P4/mmm (No. 123) and the conventional cell measures 5.1413, 5.1413 and 4.9833 Å, with angles of 90.00, 90.00 and 90.00 degrees. The distinct sites, in fractional coordinates, are Ca at (0.0000, 0.0000, 0.0000), Re at (0.5000, 0.5000, 0.5000), P at (0.0000, 0.5000, 0.0000) and S at (0.0000, 0.0000, 0.5000).

=====

Run two
DFT (PBE) results for an optimized crystal structure of CaReP2S.

The density of states at the Fermi level comes out at 0.62 states/eV per atom.

The space group is P4/mmm (No. 123) and the conventional cell measures 4.4866, 4.4866 and 5.5316 Å, with angles of 90.00, 90.00 and 90.00 degrees. The distinct sites, in fractional coordinates, are Ca at (0.0000, 0.0000, 0.0000), Re at (0.5000, 0.5000, 0.5000), P at (0.0000, 0.5000, 0.5000) and S at (0.5000, 0.5000, 0.0000).

=====

Which of them is the most stable? Correct choice: run two.